Arrangement P

! Ta2AgOs | Alexandria | PBE | relaxed; values from VASP
! Total moment = 0.00 Bohr magnetons per cell
! Theoretical density = 16.08 g/cm³
&SYSTEM
  ibrav = 0, nat = 4, ntyp = 3
/
ATOMIC_SPECIES
Ta 180.95 Ta.upf
Ag 107.87 Ag.upf
Os 190.23 Os.upf
CELL_PARAMETERS angstrom
4.074 0.000 0.000
0.000 2.919 -0.004
0.000 2.253 5.729
ATOMIC_POSITIONS crystal
Ta 0.000 0.967 0.978
Ta 0.000 0.533 0.522
Ag 0.500 0.250 0.250
Os 0.500 0.750 0.750

Arrangement Q

! Ta2AgOs | Alexandria | PBE | relaxed; values from VASP
! Total moment = 0.00 Bohr magnetons per cell
! Theoretical density = 16.17 g/cm³
&SYSTEM
  ibrav = 0, nat = 4, ntyp = 3
/
ATOMIC_SPECIES
Ta 180.95 Ta.upf
Ag 107.87 Ag.upf
Os 190.23 Os.upf
CELL_PARAMETERS angstrom
2.996 0.000 0.000
0.000 3.923 0.000
0.000 0.000 5.766
ATOMIC_POSITIONS crystal
Ta 0.000 0.000 0.982
Ta 0.000 0.000 0.518
Ag 0.500 0.500 0.250
Os 0.500 0.500 0.750

Arrangement R

! Ta2AgOs | Alexandria | PBE | relaxed; values from VASP
! Total moment = 0.00 Bohr magnetons per cell
! Theoretical density = 16.10 g/cm³
&SYSTEM
  ibrav = 0, nat = 4, ntyp = 3
/
ATOMIC_SPECIES
Ta 180.95 Ta.upf
Ag 107.87 Ag.upf
Os 190.23 Os.upf
CELL_PARAMETERS angstrom
4.908 -0.001 0.028
4.032 2.798 0.028
0.847 0.265 4.960
ATOMIC_POSITIONS crystal
Ta 0.996 0.996 0.005
Ta 0.504 0.504 0.495
Ag 0.750 0.750 0.750
Os 0.250 0.250 0.250

Arrangement S

! Ta2AgOs | Alexandria | PBE | relaxed; values from VASP
! Total moment = 0.00 Bohr magnetons per cell
! Theoretical density = 15.90 g/cm³
&SYSTEM
  ibrav = 0, nat = 4, ntyp = 3
/
ATOMIC_SPECIES
Ag 107.87 Ag.upf
Ta 180.95 Ta.upf
Os 190.23 Os.upf
CELL_PARAMETERS angstrom
5.484 0.001 0.000
2.621 4.817 0.000
-3.531 -3.287 2.609
ATOMIC_POSITIONS crystal
Ag 0.491 0.491 0.000
Ta 0.015 0.015 0.000
Ta 0.757 0.257 0.500
Os 0.237 0.737 0.500

It comes down to arrangement P, which is 13 meV per atom more stable than the next structure.

Arrangement P

! Ta2AgOs | Alexandria | PBE | relaxed; values from VASP
! Total moment = 0.00 Bohr magnetons per cell
! Theoretical density = 15.93 g/cm³
&SYSTEM
  ibrav = 0, nat = 4, ntyp = 3
/
ATOMIC_SPECIES
Ta 180.95 Ta.upf
Os 190.23 Os.upf
Ag 107.87 Ag.upf
CELL_PARAMETERS angstrom
-0.696 -0.101 2.903
1.616 -2.494 0.300
6.230 4.234 1.641
ATOMIC_POSITIONS crystal
Ta 0.000 0.000 0.524
Ta 0.000 0.000 0.976
Os 0.500 0.500 0.750
Ag 0.500 0.500 0.250

Arrangement Q

! Ta2AgOs | Alexandria | PBE | relaxed; values from VASP
! Total moment = 0.00 Bohr magnetons per cell
! Theoretical density = 15.94 g/cm³
&SYSTEM
  ibrav = 0, nat = 4, ntyp = 3
/
ATOMIC_SPECIES
Ag 107.87 Ag.upf
Ta 180.95 Ta.upf
Os 190.23 Os.upf
CELL_PARAMETERS angstrom
-1.547 -1.795 -1.511
2.737 -0.366 -0.524
0.488 -6.225 6.896
ATOMIC_POSITIONS crystal
Ag 0.000 0.000 0.504
Ta 0.000 0.000 0.989
Ta 0.500 0.500 0.243
Os 0.500 0.500 0.764

It comes down to arrangement P, which is 145 meV per atom more stable than the next structure.

Arrangement P

! Ta2AgOs | Alexandria | PBE | relaxed; values from VASP
! Total moment = 0.53 Bohr magnetons per cell
! Theoretical density = 16.25 g/cm³
&SYSTEM
  ibrav = 0, nat = 4, ntyp = 3
/
ATOMIC_SPECIES
Ag 107.87 Ag.upf
Ta 180.95 Ta.upf
Os 190.23 Os.upf
CELL_PARAMETERS angstrom
4.569 0.000 0.000
2.285 3.957 0.000
2.285 1.319 3.731
ATOMIC_POSITIONS crystal
Ag 0.500 0.500 0.500
Ta 0.750 0.750 0.750
Ta 0.000 0.000 0.000
Os 0.250 0.250 0.250

Arrangement Q

! Ta2AgOs | Alexandria | PBE | relaxed; values from VASP
! Total moment = 0.00 Bohr magnetons per cell
! Theoretical density = 15.69 g/cm³
&SYSTEM
  ibrav = 0, nat = 4, ntyp = 3
/
ATOMIC_SPECIES
Ta 180.95 Ta.upf
Os 190.23 Os.upf
Ag 107.87 Ag.upf
CELL_PARAMETERS angstrom
9.569 0.016 0.009
9.117 2.907 0.009
9.117 1.426 2.533
ATOMIC_POSITIONS crystal
Ta 0.005 0.005 0.005
Ta 0.252 0.252 0.252
Os 0.745 0.745 0.745
Ag 0.498 0.498 0.498

Arrangement R

! Ta2AgOs | Alexandria | PBE | relaxed; values from VASP
! Total moment = 0.00 Bohr magnetons per cell
! Theoretical density = 16.24 g/cm³
&SYSTEM
  ibrav = 0, nat = 4, ntyp = 3
/
ATOMIC_SPECIES
Os 190.23 Os.upf
Ag 107.87 Ag.upf
Ta 180.95 Ta.upf
CELL_PARAMETERS angstrom
-1.728 2.543 4.097
-5.068 0.740 -0.037
3.033 -4.072 -0.676
ATOMIC_POSITIONS crystal
Os 0.750 0.250 0.500
Ag 0.500 0.500 0.000
Ta 0.000 0.000 0.000
Ta 0.250 0.750 0.500

Arrangement S

! Ta2AgOs | Alexandria | PBE | relaxed; values from VASP
! Total moment = 0.00 Bohr magnetons per cell
! Theoretical density = 15.80 g/cm³
&SYSTEM
  ibrav = 0, nat = 4, ntyp = 3
/
ATOMIC_SPECIES
Ag 107.87 Ag.upf
Os 190.23 Os.upf
Ta 180.95 Ta.upf
CELL_PARAMETERS angstrom
3.190 0.000 0.000
0.000 3.190 0.000
0.000 0.000 6.817
ATOMIC_POSITIONS crystal
Ag 0.000 0.000 0.505
Os 0.500 0.500 0.774
Ta 0.500 0.500 0.246
Ta 0.000 0.000 0.975

It comes down to arrangement S, which is 71 meV per atom more stable than the next structure.

Arrangement P

! Ta2AgOs | Alexandria | PBE | relaxed; values from VASP
! Total moment = 0.00 Bohr magnetons per cell
! Theoretical density = 16.43 g/cm³
&SYSTEM
  ibrav = 0, nat = 4, ntyp = 3
/
ATOMIC_SPECIES
Os 190.23 Os.upf
Ta 180.95 Ta.upf
Ag 107.87 Ag.upf
CELL_PARAMETERS angstrom
-2.013 -0.166 -3.551
3.488 -0.873 -1.937
-0.666 -3.901 0.560
ATOMIC_POSITIONS crystal
Os 0.000 0.500 0.500
Ta 0.000 0.000 0.000
Ta 0.500 0.500 0.000
Ag 0.500 0.000 0.500

Arrangement Q

! Ta2AgOs | Alexandria | PBE | relaxed; values from VASP
! Total moment = 0.00 Bohr magnetons per cell
! Theoretical density = 16.23 g/cm³
&SYSTEM
  ibrav = 0, nat = 4, ntyp = 3
/
ATOMIC_SPECIES
Ta 180.95 Ta.upf
Os 190.23 Os.upf
Ag 107.87 Ag.upf
CELL_PARAMETERS angstrom
-3.189 -3.200 -1.006
2.134 -1.730 -1.261
0.792 -2.128 4.258
ATOMIC_POSITIONS crystal
Ta 0.000 0.125 0.917
Ta 0.500 0.125 0.318
Os 0.500 0.625 0.828
Ag 0.000 0.625 0.437

It comes down to arrangement Q, which is 5 meV per atom more stable than the next structure.

Arrangement P

! Ta2AgOs | Alexandria | PBE | relaxed; values from VASP
! Total moment = 0.00 Bohr magnetons per cell
! Theoretical density = 16.32 g/cm³
&SYSTEM
  ibrav = 0, nat = 4, ntyp = 3
/
ATOMIC_SPECIES
Ag 107.87 Ag.upf
Ta 180.95 Ta.upf
Os 190.23 Os.upf
CELL_PARAMETERS angstrom
-4.349 -1.982 -0.507
0.954 0.034 4.710
-1.277 2.743 0.238
ATOMIC_POSITIONS crystal
Ag 0.500 0.000 0.500
Ta 0.000 0.000 0.000
Ta 0.500 0.500 0.000
Os 0.000 0.500 0.500

Arrangement Q

! Ta2AgOs | Alexandria | PBE | relaxed; values from VASP
! Total moment = 0.00 Bohr magnetons per cell
! Theoretical density = 14.51 g/cm³
&SYSTEM
  ibrav = 0, nat = 8, ntyp = 3
/
ATOMIC_SPECIES
Ag 107.87 Ag.upf
Ta 180.95 Ta.upf
Os 190.23 Os.upf
CELL_PARAMETERS angstrom
7.358 0.000 0.000
0.000 7.358 0.000
3.679 3.679 2.790
ATOMIC_POSITIONS crystal
Ag 0.500 0.500 0.000
Ag 0.250 0.750 0.500
Ta 0.375 0.340 0.750
Ta 0.660 0.125 0.250
Ta 0.090 0.625 0.250
Ta 0.875 0.910 0.750
Os 0.000 0.000 0.000
Os 0.750 0.250 0.500

Arrangement R

! Ta2AgOs | Alexandria | PBE | relaxed; values from VASP
! Total moment = 0.00 Bohr magnetons per cell
! Theoretical density = 16.06 g/cm³
&SYSTEM
  ibrav = 0, nat = 4, ntyp = 3
/
ATOMIC_SPECIES
Ta 180.95 Ta.upf
Os 190.23 Os.upf
Ag 107.87 Ag.upf
CELL_PARAMETERS angstrom
-1.021 -9.330 2.780
1.214 -9.658 1.030
1.631 -8.893 3.751
ATOMIC_POSITIONS crystal
Ta 0.004 0.004 0.004
Ta 0.496 0.496 0.496
Os 0.750 0.750 0.750
Ag 0.250 0.250 0.250

It comes down to arrangement P, which is 119 meV per atom more stable than the next structure.

Arrangement P

! TaAgOs3 | Alexandria | PBE | relaxed; values from VASP
! Total moment = 0.00 Bohr magnetons per cell
! Theoretical density = 14.19 g/cm³
&SYSTEM
  ibrav = 0, nat = 5, ntyp = 3
/
ATOMIC_SPECIES
Os 190.23 Os.upf
Ta 180.95 Ta.upf
Ag 107.87 Ag.upf
CELL_PARAMETERS angstrom
4.651 0.000 0.000
0.000 4.651 0.000
0.000 0.000 4.651
ATOMIC_POSITIONS crystal
Os 0.500 0.000 0.000
Os 0.000 0.500 0.000
Os 0.000 0.000 0.500
Ta 0.500 0.500 0.500
Ag 0.000 0.000 0.000

Arrangement Q

! TaAgOs3 | Alexandria | PBE | relaxed; values from VASP
! Total moment = 2.91 Bohr magnetons per cell
! Theoretical density = 13.13 g/cm³
&SYSTEM
  ibrav = 0, nat = 5, ntyp = 3
/
ATOMIC_SPECIES
Os 190.23 Os.upf
Ta 180.95 Ta.upf
Ag 107.87 Ag.upf
CELL_PARAMETERS angstrom
-0.204 2.494 -4.065
-2.450 -3.545 -2.052
-4.091 1.999 1.432
ATOMIC_POSITIONS crystal
Os 0.500 0.000 0.000
Os 0.000 0.000 0.500
Os 0.000 0.500 0.000
Ta 0.000 0.000 0.000
Ag 0.500 0.500 0.500

It comes down to arrangement Q, which is 641 meV per atom more stable than the next structure.

Arrangement P

! Tb3AgOs | Alexandria | PBE | relaxed; values from VASP
! Total moment = 0.00 Bohr magnetons per cell
! Theoretical density = 10.33 g/cm³
&SYSTEM
  ibrav = 0, nat = 10, ntyp = 3
/
ATOMIC_SPECIES
Tb 158.93 Tb.upf
Os 190.23 Os.upf
Ag 107.87 Ag.upf
CELL_PARAMETERS angstrom
5.776 0.051 -1.177
-2.689 5.112 -1.177
-0.081 -0.137 8.458
ATOMIC_POSITIONS crystal
Tb 0.923 0.794 0.717
Tb 0.706 0.577 0.283
Tb 0.294 0.423 0.717
Tb 0.305 0.805 0.110
Tb 0.695 0.195 0.890
Tb 0.077 0.206 0.283
Os 0.250 0.250 0.000
Os 0.750 0.750 0.000
Ag 0.708 0.208 0.500
Ag 0.292 0.792 0.500

Arrangement Q

! Tb3AgOs | Alexandria | PBE | relaxed; values from VASP
! Total moment = 0.00 Bohr magnetons per cell
! Theoretical density = 10.07 g/cm³
&SYSTEM
  ibrav = 0, nat = 10, ntyp = 3
/
ATOMIC_SPECIES
Os 190.23 Os.upf
Tb 158.93 Tb.upf
Ag 107.87 Ag.upf
CELL_PARAMETERS angstrom
4.054 0.000 0.000
0.000 7.905 -0.471
0.000 -2.213 8.109
ATOMIC_POSITIONS crystal
Os 0.250 0.375 0.210
Os 0.750 0.625 0.790
Tb 0.750 0.326 0.948
Tb 0.250 0.674 0.052
Tb 0.250 0.388 0.604
Tb 0.750 0.114 0.227
Tb 0.750 0.612 0.396
Tb 0.250 0.886 0.773
Ag 0.750 0.075 0.605
Ag 0.250 0.925 0.395

It comes down to arrangement P, which is 50 meV per atom more stable than the next structure.

Arrangement P

! TcAgOs | Alexandria | PBE | relaxed; values from VASP
! Total moment = 0.00 Bohr magnetons per cell
! Theoretical density = 13.80 g/cm³
&SYSTEM
  ibrav = 0, nat = 3, ntyp = 3
/
ATOMIC_SPECIES
Os 190.23 Os.upf
Ag 107.87 Ag.upf
Tc 98.00 Tc.upf
CELL_PARAMETERS angstrom
6.247 0.012 0.000
4.950 3.810 0.000
-5.599 -1.911 2.007
ATOMIC_POSITIONS crystal
Os 0.317 0.317 0.000
Ag 0.000 0.000 0.000
Tc 0.684 0.684 0.000

Arrangement Q

! TcAgOs | Alexandria | PBE | relaxed; values from VASP
! Total moment = 0.00 Bohr magnetons per cell
! Theoretical density = 14.23 g/cm³
&SYSTEM
  ibrav = 0, nat = 3, ntyp = 3
/
ATOMIC_SPECIES
Os 190.23 Os.upf
Ag 107.87 Ag.upf
Tc 98.00 Tc.upf
CELL_PARAMETERS angstrom
4.934 0.005 -0.005
2.668 4.151 0.005
-3.467 -2.689 2.257
ATOMIC_POSITIONS crystal
Os 0.681 0.681 0.000
Ag 0.000 0.000 0.000
Tc 0.318 0.318 0.000

It comes down to arrangement P, which is 98 meV per atom more stable than the next structure.

Arrangement P

! TcAgOs | Alexandria | PBE | relaxed; values from VASP
! Total moment = 0.00 Bohr magnetons per cell
! Theoretical density = 14.04 g/cm³
&SYSTEM
  ibrav = 0, nat = 3, ntyp = 3
/
ATOMIC_SPECIES
Tc 98.00 Tc.upf
Ag 107.87 Ag.upf
Os 190.23 Os.upf
CELL_PARAMETERS angstrom
-0.036 2.558 1.054
-1.067 -2.106 1.443
6.300 -1.144 2.989
ATOMIC_POSITIONS crystal
Tc 0.333 0.667 0.644
Ag 0.000 0.000 0.000
Os 0.667 0.333 0.356

Arrangement Q

! TcAgOs | Alexandria | PBE | relaxed; values from VASP
! Total moment = 0.00 Bohr magnetons per cell
! Theoretical density = 13.82 g/cm³
&SYSTEM
  ibrav = 0, nat = 3, ntyp = 3
/
ATOMIC_SPECIES
Os 190.23 Os.upf
Ag 107.87 Ag.upf
Tc 98.00 Tc.upf
CELL_PARAMETERS angstrom
-5.451 4.089 -3.416
-6.395 1.557 -3.398
-0.942 1.644 1.927
ATOMIC_POSITIONS crystal
Os 0.324 0.324 0.676
Ag 0.000 0.000 0.000
Tc 0.676 0.676 0.324

It comes down to arrangement P, which is 275 meV per atom more stable than the next structure.

Arrangement P

! TcAg2Os | Alexandria | PBE | relaxed; values from VASP
! Total moment = 0.00 Bohr magnetons per cell
! Theoretical density = 13.10 g/cm³
&SYSTEM
  ibrav = 0, nat = 4, ntyp = 3
/
ATOMIC_SPECIES
Tc 98.00 Tc.upf
Ag 107.87 Ag.upf
Os 190.23 Os.upf
CELL_PARAMETERS angstrom
4.487 0.000 0.000
2.244 3.886 0.000
2.244 1.295 3.664
ATOMIC_POSITIONS crystal
Tc 0.250 0.250 0.250
Ag 0.750 0.750 0.750
Ag 0.000 0.000 0.000
Os 0.500 0.500 0.500

Arrangement Q

! TcAg2Os | Alexandria | PBE | relaxed; values from VASP
! Total moment = 0.00 Bohr magnetons per cell
! Theoretical density = 12.83 g/cm³
&SYSTEM
  ibrav = 0, nat = 4, ntyp = 3
/
ATOMIC_SPECIES
Tc 98.00 Tc.upf
Ag 107.87 Ag.upf
Os 190.23 Os.upf
CELL_PARAMETERS angstrom
-2.569 -0.124 -0.927
0.348 -0.160 2.707
-0.710 9.734 0.668
ATOMIC_POSITIONS crystal
Tc 0.500 0.500 0.734
Ag 0.000 0.000 0.995
Ag 0.500 0.500 0.255
Os 0.000 0.000 0.516

It comes down to arrangement Q, which is 333 meV per atom more stable than the next structure.

Arrangement P

! TcAg2Os | Alexandria | PBE | relaxed; values from VASP
! Total moment = 4.24 Bohr magnetons per cell
! Theoretical density = 11.70 g/cm³
&SYSTEM
  ibrav = 0, nat = 8, ntyp = 3
/
ATOMIC_SPECIES
Tc 98.00 Tc.upf
Os 190.23 Os.upf
Ag 107.87 Ag.upf
CELL_PARAMETERS angstrom
7.489 0.000 0.000
0.000 7.489 0.000
3.745 3.745 2.550
ATOMIC_POSITIONS crystal
Tc 0.250 0.750 0.500
Tc 0.500 0.500 0.000
Os 0.750 0.250 0.500
Os 0.000 0.000 0.000
Ag 0.630 0.125 0.250
Ag 0.875 0.880 0.750
Ag 0.120 0.625 0.250
Ag 0.375 0.370 0.750

Arrangement Q

! TcAg2Os | Alexandria | PBE | relaxed; values from VASP
! Total moment = 0.00 Bohr magnetons per cell
! Theoretical density = 12.94 g/cm³
&SYSTEM
  ibrav = 0, nat = 4, ntyp = 3
/
ATOMIC_SPECIES
Ag 107.87 Ag.upf
Os 190.23 Os.upf
Tc 98.00 Tc.upf
CELL_PARAMETERS angstrom
-3.864 0.300 -0.441
0.065 -2.009 -1.939
-0.736 -6.089 2.298
ATOMIC_POSITIONS crystal
Ag 0.500 0.255 0.247
Ag 0.000 0.995 0.003
Os 0.000 0.473 0.536
Tc 0.500 0.777 0.714

Arrangement R

! TcAg2Os | Alexandria | PBE | relaxed; values from VASP
! Total moment = 0.00 Bohr magnetons per cell
! Theoretical density = 13.22 g/cm³
&SYSTEM
  ibrav = 0, nat = 4, ntyp = 3
/
ATOMIC_SPECIES
Ag 107.87 Ag.upf
Os 190.23 Os.upf
Tc 98.00 Tc.upf
CELL_PARAMETERS angstrom
5.097 -0.021 0.014
4.346 2.663 0.014
0.752 0.210 4.636
ATOMIC_POSITIONS crystal
Ag 0.999 0.999 0.000
Ag 0.501 0.501 0.500
Os 0.250 0.250 0.250
Tc 0.750 0.750 0.750

It comes down to arrangement Q, which is 201 meV per atom more stable than the next structure.